VASP calculation (GGA-PBE) on a relaxed structure of SbOsCl2.

Cell: 4.6373 3.0915 7.4787 Å, 90.00 107.69 90.00°
Closest atoms and distances in Å follow each position.
Atoms (fractional coordinates):
Sb 0.0000 0.0000 0.0000  4 Os 2.93, 2 Sb 3.09, 4 Cl 3.14
Os 0.5621 0.5000 0.1275  3 Cl 2.35-2.36
Cl 0.4002 0.5000 0.7959  1 Os 2.36
Cl 0.6836 0.0000 0.3759  2 Os 2.35

Calculated values
Its symmetry is No. 6. For the total energy, the calculation gives -4.60 eV/atom. For the uncorrected formation energy, the calculation gives 164 meV/atom.

---

VASP calculation (GGA-PBE) on a relaxed structure of AlAgRu.

Cell: 2.8643 2.8643 6.5668 Å, 90.00 90.00 120.00°
Closest atoms and distances in Å follow each position.
Atoms (fractional coordinates):
Al 0.0000 0.0000 0.0000  3 Ru 2.51, 3 Ag 2.80
Ag 0.3333 0.6667 0.6551  3 Al 2.80, 6 Ag 2.86, 3 Ru 2.93
Ru 0.6667 0.3333 0.2876  3 Al 2.51

Calculated values
Its symmetry is No. 156. The energy of formation is 4 kJ/mol of formula units. For the total energy, the calculation gives -5.28 eV/atom.

---

VASP calculation (GGA-PBE) on a relaxed structure of Li2MgAu6.

Cell: 8.6660 8.6660 4.0786 Å, 90.00 90.00 90.00°
Closest atoms and distances in Å follow each position.
Atoms (fractional coordinates):
Li 0.1864 0.1864 0.0000  10 Au 2.79-2.95, 2 Mg 3.06
Li 0.3136 0.6864 0.5000  10 Au 2.79-2.95, 2 Mg 3.06
Li 0.6864 0.3136 0.5000  10 Au 2.79-2.95, 2 Mg 3.06
Li 0.8136 0.8136 0.0000  10 Au 2.79-2.95, 2 Mg 3.06
Mg 0.0000 0.0000 0.5000  8 Au 2.77-2.82, 4 Li 3.06
Mg 0.5000 0.5000 0.0000  8 Au 2.77-2.82, 4 Li 3.06
Au 0.0087 0.3252 0.5000  3 Li 2.79-2.82, 1 Mg 2.82, 8 Au 2.89-3.03
Au 0.1525 0.8475 0.0000  2 Mg 2.77, 4 Li 2.84-2.95, 6 Au 2.89-2.94
Au 0.1748 0.5087 0.0000  3 Li 2.79-2.82, 1 Mg 2.82, 8 Au 2.89-3.03
Au 0.3252 0.0087 0.5000  3 Li 2.79-2.82, 1 Mg 2.82, 8 Au 2.89-3.03
Au 0.3475 0.3475 0.5000  2 Mg 2.77, 4 Li 2.84-2.95, 6 Au 2.89-2.94
Au 0.4913 0.8252 0.0000  3 Li 2.79-2.82, 1 Mg 2.82, 8 Au 2.89-3.03
Au 0.5087 0.1748 0.0000  3 Li 2.79-2.82, 1 Mg 2.82, 8 Au 2.89-3.03
Au 0.6525 0.6525 0.5000  2 Mg 2.77, 4 Li 2.84-2.95, 6 Au 2.89-2.94
Au 0.6748 0.9913 0.5000  3 Li 2.79-2.82, 1 Mg 2.82, 8 Au 2.89-3.03
Au 0.8252 0.4913 0.0000  3 Li 2.79-2.82, 1 Mg 2.82, 8 Au 2.89-3.03
Au 0.8475 0.1525 0.0000  2 Mg 2.77, 4 Li 2.84-2.95, 6 Au 2.89-2.94
Au 0.9913 0.6748 0.5000  3 Li 2.79-2.82, 1 Mg 2.82, 8 Au 2.89-3.03

Calculated values
Its symmetry is No. 136. The energy of formation is -363 kJ/mol of formula units. For the total energy, the calculation gives -3.20 eV/atom.

---

Q: Among the records above, which one has the highest total energy?
A: Li2MgAu6